Record 1
The following is a PBE-GGA calculation of K4Dy3HfTe8 after structural relaxation, from Alexandria.

Cell lengths 9.7125, 9.7125, 9.7125 Å; angles 53.98, 53.98, 53.98 degrees
Element x y z (fractional)
K: 0.0000 0.0000 0.0000
K: 0.0000 0.5000 0.5000
K: 0.5000 0.0000 0.5000
K: 0.5000 0.5000 0.0000
Dy: 0.0000 0.0000 0.5000
Dy: 0.0000 0.5000 0.0000
Dy: 0.5000 0.0000 0.0000
Hf: 0.5000 0.5000 0.5000
Te: 0.2373 0.2373 0.2373
Te: 0.2491 0.7280 0.7280
Te: 0.2720 0.2720 0.7509
Te: 0.2720 0.7509 0.2720
Te: 0.7280 0.2491 0.7280
Te: 0.7280 0.7280 0.2491
Te: 0.7509 0.2720 0.2720
Te: 0.7627 0.7627 0.7627

Results
symmetry: No. 166
crystal system: trigonal

---

Record 2
The following is a PBE-GGA calculation of K2Dy2HfTe6 after structural relaxation, from Alexandria.

Cell lengths 7.4940, 7.4940, 8.8397 Å; angles 98.53, 98.53, 119.70 degrees
Element x y z (fractional)
K: 0.1713 0.8287 0.0000
K: 0.8287 0.1713 0.0000
Dy: 0.3321 0.6679 0.5000
Dy: 0.6679 0.3321 0.5000
Hf: 0.0000 0.0000 0.5000
Te: 0.0737 0.3882 0.7040
Te: 0.2475 0.2475 0.2984
Te: 0.3882 0.0737 0.7040
Te: 0.6118 0.9263 0.2960
Te: 0.7525 0.7525 0.7016
Te: 0.9263 0.6118 0.2960

Results
symmetry: No. 12
crystal system: monoclinic

---

no.,formation energy (no corrections) (eV per atom)
1,-1.25
2,-1.23